1.
A plane-wave DFT calculation with PBE-GGA was carried out for a relaxed structure of Nb2FeCoSi.

```
data_Nb2FeCoSi
_chemical_formula_sum 'Nb2 Fe1 Co1 Si1'
_symmetry_space_group_name_H-M 'P 1'
_symmetry_Int_Tables_number 1
_symmetry_space_group_name_Hall 'P 1'
_cell_length_a 4.517
_cell_length_b 4.517
_cell_length_c 4.283
_cell_angle_alpha 90.00
_cell_angle_beta 90.00
_cell_angle_gamma 90.00
loop_
_atom_site_label
_atom_site_type_symbol
_atom_site_fract_x
_atom_site_fract_y
_atom_site_fract_z
Nb1 Nb 0.000 0.500 0.000
Nb2 Nb 0.500 0.000 0.000
Fe1 Fe 0.000 0.000 0.500
Co1 Co 0.000 0.000 0.000
Si1 Si 0.500 0.500 0.500
```

Summary:
Energy relative to the elements, uncorrected: 0.72 eV/atom
Total moment: 2.52 μB per formula unit
Calculated density: 6.24 Mg/m³
Final energy: -7.50 eV per atom



2.
A plane-wave DFT calculation with PBE-GGA was carried out for a relaxed structure of CsTaPbO4.

```
data_CsTaPbO4
_chemical_formula_sum 'Cs2 Ta2 Pb2 O8'
_symmetry_space_group_name_H-M 'P 1'
_symmetry_Int_Tables_number 1
_symmetry_space_group_name_Hall 'P 1'
_cell_length_a 7.031
_cell_length_b 6.490
_cell_length_c 8.252
_cell_angle_alpha 90.00
_cell_angle_beta 111.31
_cell_angle_gamma 90.00
loop_
_atom_site_label
_atom_site_type_symbol
_atom_site_fract_x
_atom_site_fract_y
_atom_site_fract_z
Cs1 Cs 0.206 0.250 0.471
Cs2 Cs 0.794 0.750 0.529
Ta1 Ta 0.217 0.750 0.183
Ta2 Ta 0.783 0.250 0.817
Pb1 Pb 0.303 0.250 0.022
Pb2 Pb 0.697 0.750 0.978
O1 O 0.015 0.750 0.958
O2 O 0.083 0.750 0.335
O3 O 0.385 0.513 0.217
O4 O 0.385 0.987 0.217
O5 O 0.615 0.013 0.783
O6 O 0.615 0.487 0.783
O7 O 0.917 0.250 0.665
O8 O 0.985 0.250 0.042
```

Summary:
Energy relative to the elements, uncorrected: -2.14 eV/atom
Total moment: 0.00 μB per formula unit
Calculated density: 5.54 Mg/m³
Final energy: -7.32 eV per atom



3.
A plane-wave DFT calculation with PBE-GGA was carried out for a relaxed structure of TaP2RuS.

```
data_TaP2RuS
_chemical_formula_sum 'Ta1 P2 Ru1 S1'
_symmetry_space_group_name_H-M 'P 1'
_symmetry_Int_Tables_number 1
_symmetry_space_group_name_Hall 'P 1'
_cell_length_a 4.808
_cell_length_b 4.808
_cell_length_c 4.668
_cell_angle_alpha 90.00
_cell_angle_beta 90.00
_cell_angle_gamma 90.00
loop_
_atom_site_label
_atom_site_type_symbol
_atom_site_fract_x
_atom_site_fract_y
_atom_site_fract_z
Ta1 Ta 0.000 0.000 0.000
P1 P 0.000 0.500 0.000
P2 P 0.500 0.000 0.000
Ru1 Ru 0.500 0.500 0.500
S1 S 0.000 0.000 0.500
```

Summary:
Energy relative to the elements, uncorrected: 0.84 eV/atom
Total moment: 2.47 μB per formula unit
Calculated density: 5.79 Mg/m³
Final energy: -6.37 eV per atom



4.
A plane-wave DFT calculation with PBE-GGA was carried out for a relaxed structure of Ca3CeZr2P6.

```
data_Ca3CeZr2P6
_chemical_formula_sum 'Ca3 Ce1 Zr2 P6'
_symmetry_space_group_name_H-M 'P 1'
_symmetry_Int_Tables_number 1
_symmetry_space_group_name_Hall 'P 1'
_cell_length_a 6.855
_cell_length_b 6.855
_cell_length_c 7.004
_cell_angle_alpha 99.41
_cell_angle_beta 99.41
_cell_angle_gamma 120.03
loop_
_atom_site_label
_atom_site_type_symbol
_atom_site_fract_x
_atom_site_fract_y
_atom_site_fract_z
Ca1 Ca 0.000 0.000 0.000
Ca2 Ca 0.335 0.665 0.000
Ca3 Ca 0.665 0.335 0.000
Ce1 Ce 0.500 0.500 0.500
Zr1 Zr 0.167 0.833 0.500
Zr2 Zr 0.833 0.167 0.500
P1 P 0.080 0.424 0.273
P2 P 0.231 0.231 0.726
P3 P 0.424 0.080 0.273
P4 P 0.576 0.920 0.727
P5 P 0.769 0.769 0.274
P6 P 0.920 0.576 0.727
```

Summary:
ΔE_f: -1273 meV/atom
Total moment: 0.00 μB per formula unit
Calculated density: 3.88 Mg/m³
Final energy: -6.40 eV per atom



5.
A plane-wave DFT calculation with PBE-GGA was carried out for a relaxed structure of CePaN.

```
data_CePaN
_chemical_formula_sum 'Ce1 Pa1 N1'
_symmetry_space_group_name_H-M 'P 1'
_symmetry_Int_Tables_number 1
_symmetry_space_group_name_Hall 'P 1'
_cell_length_a 4.224
_cell_length_b 4.224
_cell_length_c 4.224
_cell_angle_alpha 60.00
_cell_angle_beta 60.00
_cell_angle_gamma 60.00
loop_
_atom_site_label
_atom_site_type_symbol
_atom_site_fract_x
_atom_site_fract_y
_atom_site_fract_z
Ce1 Ce 0.000 0.000 0.000
Pa1 Pa 0.500 0.500 0.500
N1 N 0.750 0.750 0.750
```

Summary:
Energy relative to the elements, uncorrected: -0.28 eV/atom
Total moment: 0.00 μB per formula unit
Calculated density: 12.00 Mg/m³
Final energy: -8.19 eV per atom



6.
A plane-wave DFT calculation with PBE-GGA was carried out for a relaxed structure of Sm2HgBi.

```
data_Sm2HgBi
_chemical_formula_sum 'Sm2 Hg1 Bi1'
_symmetry_space_group_name_H-M 'P 1'
_symmetry_Int_Tables_number 1
_symmetry_space_group_name_Hall 'P 1'
_cell_length_a 8.416
_cell_length_b 8.416
_cell_length_c 8.416
_cell_angle_alpha 29.74
_cell_angle_beta 29.74
_cell_angle_gamma 29.74
loop_
_atom_site_label
_atom_site_type_symbol
_atom_site_fract_x
_atom_site_fract_y
_atom_site_fract_z
Sm1 Sm 0.000 0.000 0.000
Sm2 Sm 0.172 0.172 0.172
Hg1 Hg 0.418 0.418 0.418
Bi1 Bi 0.587 0.587 0.587
```

Summary:
ΔE_f: -513 meV/atom
Total moment: 0.00 μB per formula unit
Calculated density: 9.08 Mg/m³
Final energy: -3.92 eV per atom